## i
Compound: AcLaHg4
Source: Alexandria
Functional: PBE
Structure: optimized geometry

Computed properties:
Space group = P2/m
D(E_F) = 0.70 states/eV/atom
Size of the total moment = 0.000 μB/atom

a = 3.7727 Å, b = 5.1076 Å, c = 9.5956 Å
α = 90.00°, β = 113.28°, γ = 90.00°
Closest atoms and distances in Å follow each position.
Sites, in units of the cell vectors:
1 Ac 0.5013 0.4974 0.9982  12 Hg 3.51-3.52, 2 Ac 3.77
2 La 0.0014 0.9972 0.4981  12 Hg 3.46-3.49, 2 La 3.77
3 Hg 0.1731 0.9973 0.1686  3 Hg 2.94-3.01
4 Hg 0.8292 0.9973 0.8276  3 Hg 2.94-3.01
5 Hg 0.6661 0.4973 0.6619  3 Hg 2.89-2.94
6 Hg 0.3368 0.4973 0.3344  3 Hg 2.89-2.94



## ii
Compound: AcLaHg4
Source: Alexandria
Functional: PBE
Structure: optimized geometry

Computed properties:
Space group = F-43m
D(E_F) = 0.28 states/eV/atom
Size of the total moment = 0.000 μB/atom

a = 6.1691 Å, b = 6.1691 Å, c = 6.1691 Å
α = 60.00°, β = 60.00°, γ = 60.00°
Closest atoms and distances in Å follow each position.
Sites, in units of the cell vectors:
1 Ac 0.2500 0.2500 0.2500  12 Hg 3.62, 4 La 3.78
2 Hg 0.6253 0.6253 0.1241  6 Hg 3.08-3.09
3 Hg 0.6253 0.1241 0.6253  6 Hg 3.08-3.09
4 Hg 0.6253 0.6253 0.6253  6 Hg 3.08-3.09
5 Hg 0.1241 0.6253 0.6253  6 Hg 3.08-3.09
6 La 0.0000 0.0000 0.0000  12 Hg 3.62, 4 Ac 3.78



Last place for stability: ii



## i
Compound: AcLaHg
Source: Alexandria
Functional: PBE
Structure: optimized geometry

Computed properties:
Space group = F-43m
D(E_F) = 1.77 states/eV/atom
Size of the total moment = 0.052 μB/atom

a = 5.4667 Å, b = 5.4667 Å, c = 5.4667 Å
α = 60.00°, β = 60.00°, γ = 60.00°
Closest atoms and distances in Å follow each position.
Sites, in units of the cell vectors:
1 Ac 0.5000 0.5000 0.5000  4 Hg 3.35
2 Hg 0.2500 0.2500 0.2500  4 Ac 3.35, 4 La 3.35
3 La 0.0000 0.0000 0.0000  4 Hg 3.35



## ii
Compound: AcLaHg
Source: Alexandria
Functional: PBE
Structure: optimized geometry

Computed properties:
Space group = I4mm
D(E_F) = 1.21 states/eV/atom
Size of the total moment = 0.178 μB/atom

a = 3.9817 Å, b = 3.9817 Å, c = 7.1930 Å
α = 106.07°, β = 106.07°, γ = 90.00°
Closest atoms and distances in Å follow each position.
Sites, in units of the cell vectors:
1 Ac 0.2978 0.2978 0.5956  4 Hg 3.52, 5 La 3.89-3.93
2 Hg 0.9576 0.9576 0.9152  4 La 3.35, 4 Ac 3.52
3 La 0.5946 0.5946 0.1893  4 Hg 3.35



Last place for stability: i



## i
Compound: AcLaHg
Source: Alexandria
Functional: PBE
Structure: optimized geometry

Computed properties:
Space group = P3m1
D(E_F) = 1.36 states/eV/atom
Size of the total moment = 0.000 μB/atom

a = 4.0045 Å, b = 5.4083 Å, c = 5.4083 Å
α = 120.00°, β = 90.00°, γ = 90.00°
Closest atoms and distances in Å follow each position.
Sites, in units of the cell vectors:
1 Ac 0.0196 0.0000 0.0000  3 Hg 3.43, 3 La 3.53
2 Hg 0.3743 0.3333 0.6667  3 La 3.26, 3 Ac 3.43
3 La 0.6061 0.6667 0.3333  3 Hg 3.26, 3 Ac 3.53



## ii
Compound: AcLaHg
Source: Alexandria
Functional: PBE
Structure: optimized geometry

Computed properties:
Space group = Cm
D(E_F) = 0.89 states/eV/atom
Size of the total moment = 0.000 μB/atom

a = 5.4201 Å, b = 5.4201 Å, c = 8.6498 Å
α = 90.33°, β = 110.37°, γ = 115.81°
Closest atoms and distances in Å follow each position.
Sites, in units of the cell vectors:
1 Ac 0.5483 0.4225 0.9708  3 Hg 3.25-3.27
2 Ac 0.9252 0.5552 0.4805  4 Hg 3.31-3.60, 3 La 3.51-3.70
3 La 0.0559 0.1464 0.2023  3 Hg 3.22-3.29
4 La 0.6855 0.0104 0.6959  4 Hg 3.30-3.64, 2 Ac 3.51
5 Hg 0.1455 0.7443 0.8898  1 Hg 3.18, 4 Ac 3.25-3.31, 1 La 3.37
6 Hg 0.4570 0.8298 0.2868  1 Hg 3.18, 4 La 3.22-3.30, 1 Ac 3.44



Last place for stability: i



## i
Compound: Ac3LaHg2
Source: Alexandria
Functional: PBE
Structure: optimized geometry

Computed properties:
Space group = Pmc2_1
D(E_F) = 0.82 states/eV/atom
Size of the total moment = 0.000 μB/atom

a = 5.5639 Å, b = 7.5187 Å, c = 10.3188 Å
α = 90.00°, β = 90.00°, γ = 90.00°
Closest atoms and distances in Å follow each position.
Sites, in units of the cell vectors:
1 Ac 0.0000 0.4859 0.9376  3 Hg 3.37-3.41
2 Ac 0.0000 0.9859 0.0624  3 Hg 3.37-3.41
3 Ac 0.5000 0.6613 0.1768  4 Hg 3.34-3.45
4 Ac 0.5000 0.1613 0.8232  4 Hg 3.34-3.45
5 Ac 0.0000 0.3366 0.3317  4 Hg 3.27-3.47
6 Ac 0.0000 0.8366 0.6683  4 Hg 3.27-3.47
7 La 0.5000 0.5144 0.5630  3 Hg 3.34-3.39
8 La 0.5000 0.0144 0.4370  3 Hg 3.34-3.39
9 Hg 0.5000 0.7192 0.8504  6 Ac 3.34-3.47, 1 La 3.34
10 Hg 0.5000 0.2192 0.1496  6 Ac 3.34-3.47, 1 La 3.34
11 Hg 0.0000 0.2826 0.6461  5 Ac 3.27-3.45, 2 La 3.39
12 Hg 0.0000 0.7826 0.3539  5 Ac 3.27-3.45, 2 La 3.39



## ii
Compound: Ac3LaHg2
Source: Alexandria
Functional: PBE
Structure: optimized geometry

Computed properties:
Space group = Ibam
D(E_F) = 1.64 states/eV/atom
Size of the total moment = 0.000 μB/atom

a = 7.9611 Å, b = 8.0573 Å, c = 9.5605 Å
α = 114.92°, β = 114.60°, γ = 90.00°
Closest atoms and distances in Å follow each position.
Sites, in units of the cell vectors:
1 Ac 0.5000 0.2500 0.0000  4 Hg 3.36
2 Ac 0.5000 0.7500 0.0000  4 Hg 3.36
3 Ac 0.7720 0.0220 0.5439  4 Hg 3.33-3.38
4 Ac 0.2280 0.4780 0.4561  4 Hg 3.33-3.38
5 Ac 0.2280 0.9780 0.4561  4 Hg 3.33-3.38
6 Ac 0.7720 0.5220 0.5439  4 Hg 3.33-3.38
7 La 0.0000 0.5000 0.0000  2 Hg 3.15
8 La 0.0000 0.0000 0.0000  2 Hg 3.15
9 Hg 0.5698 0.3625 0.7250  1 La 3.15, 6 Ac 3.33-3.38
10 Hg 0.8448 0.1375 0.2750  1 La 3.15, 6 Ac 3.33-3.38
11 Hg 0.1552 0.8625 0.7250  1 La 3.15, 6 Ac 3.33-3.38
12 Hg 0.4302 0.6375 0.2750  1 La 3.15, 6 Ac 3.33-3.38



Last place for stability: ii